<P>
This record from Alexandria describes LaHfZn3 after structural relaxation. The functional is PBE.

Cell: 5.2165 5.2165 5.2165 Å, 90.00 90.00 90.00°
With the nearest neighbours (Å) after each atom.
Atoms (fractional coordinates):
La 0.0000 0.0000 0.0000  6 Zn 2.61
Hf 0.5000 0.5000 0.5000  12 Zn 3.69
Zn 0.0000 0.0000 0.5000  2 La 2.61
Zn 0.0000 0.5000 0.0000  2 La 2.61
Zn 0.5000 0.0000 0.0000  2 La 2.61

Results
Total magnetic moment (μB per formula unit): 0.00

---

<Q>
This record from Alexandria describes LaHfZn3 after structural relaxation. The functional is PBE.

Cell: 5.0781 5.0781 5.0781 Å, 90.00 90.00 90.00°
With the nearest neighbours (Å) after each atom.
Atoms (fractional coordinates):
La 0.0000 0.0000 0.0000  12 Zn 3.59
Hf 0.5000 0.5000 0.5000  6 Zn 2.54
Zn 0.0000 0.5000 0.5000  2 Hf 2.54
Zn 0.5000 0.0000 0.5000  2 Hf 2.54
Zn 0.5000 0.5000 0.0000  2 Hf 2.54

Results
Total magnetic moment (μB per formula unit): 0.00

---

The structure with the least stability is <P>.

---

<P>
This record from Alexandria describes La2HfZr after structural relaxation. The functional is PBE.

Cell: 5.4169 5.4169 5.4169 Å, 60.00 60.00 60.00°
With the nearest neighbours (Å) after each atom.
Atoms (fractional coordinates):
La 0.2500 0.2500 0.2500  4 Hf 3.32, 4 Zr 3.32
La 0.7500 0.7500 0.7500  4 Zr 3.32, 4 Hf 3.32
Hf 0.0000 0.0000 0.0000  8 La 3.32
Zr 0.5000 0.5000 0.5000  8 La 3.32

Results
Total magnetic moment (μB per formula unit): 0.00

---

<Q>
This record from Alexandria describes La2HfZr after structural relaxation. The functional is PBE.

Cell: 6.8536 6.8536 6.8536 Å, 102.13 102.13 125.42°
With the nearest neighbours (Å) after each atom.
Atoms (fractional coordinates):
La 0.1243 0.6250 0.9993  2 Hf 3.14, 2 La 3.14, 2 Zr 3.15
La 0.3750 0.3743 0.4993  2 Hf 3.14, 2 La 3.14, 2 Zr 3.15
La 0.6257 0.1250 0.0007  2 Hf 3.14, 2 La 3.14, 2 Zr 3.15
La 0.8750 0.8757 0.5007  2 Hf 3.14, 2 La 3.14, 2 Zr 3.15
Hf 0.0000 0.0000 0.0000  4 La 3.14, 2 Zr 3.14
Hf 0.7500 0.2500 0.5000  4 La 3.14, 2 Zr 3.14
Zr 0.2500 0.7500 0.5000  2 Hf 3.14, 4 La 3.15
Zr 0.5000 0.5000 0.0000  2 Hf 3.14, 4 La 3.15

Results
Total magnetic moment (μB per formula unit): 1.27

---

The structure with the least stability is <Q>.

---

<P>
This record from Alexandria describes LaHfZr3 after structural relaxation. The functional is PBE.

Cell: 5.2929 5.2929 5.2929 Å, 90.00 90.00 90.00°
With the nearest neighbours (Å) after each atom.
Atoms (fractional coordinates):
La 0.0000 0.0000 0.0000  12 Zr 3.74
Hf 0.5000 0.5000 0.5000  6 Zr 2.65
Zr 0.0000 0.5000 0.5000  2 Hf 2.65
Zr 0.5000 0.0000 0.5000  2 Hf 2.65
Zr 0.5000 0.5000 0.0000  2 Hf 2.65

Results
Total magnetic moment (μB per formula unit): 0.00

---

<Q>
This record from Alexandria describes LaHfZr3 after structural relaxation. The functional is PBE.

Cell: 5.1099 5.1099 5.1099 Å, 90.00 90.00 90.00°
With the nearest neighbours (Å) after each atom.
Atoms (fractional coordinates):
La 0.0000 0.0000 0.0000  6 Zr 2.55
Hf 0.5000 0.5000 0.5000  12 Zr 3.61
Zr 0.0000 0.0000 0.5000  2 La 2.55
Zr 0.0000 0.5000 0.0000  2 La 2.55
Zr 0.5000 0.0000 0.0000  2 La 2.55

Results
Total magnetic moment (μB per formula unit): 0.00

---

The structure with the least stability is <Q>.

---

<P>
This record from Alexandria describes LiHfMg after structural relaxation. The functional is PBE.

Cell: 7.0377 7.0377 7.0377 Å, 155.19 155.19 35.37°
With the nearest neighbours (Å) after each atom.
Atoms (fractional coordinates):
Li 0.0000 0.0000 0.0000  4 Mg 3.01, 4 Li 3.02, 4 Hf 3.11
Hf 0.6689 0.6689 0.0000  4 Hf 3.02, 4 Li 3.11, 4 Mg 3.15
Mg 0.3418 0.3418 0.0000  4 Li 3.01, 4 Mg 3.02, 4 Hf 3.15

Results
Total magnetic moment (μB per formula unit): 0.00

---

<Q>
This record from Alexandria describes LiHfMg after structural relaxation. The functional is PBE.

Cell: 3.1511 3.1594 15.5441 Å, 90.10 95.75 119.80°
With the nearest neighbours (Å) after each atom.
Atoms (fractional coordinates):
Li 0.1133 0.3045 0.4174  3 Mg 3.13-3.14, 9 Li 3.13-3.16
Li 0.8867 0.6955 0.5826  3 Mg 3.13-3.14, 9 Li 3.13-3.16
Hf 0.1147 0.8060 0.9215  9 Hf 3.03-3.16, 3 Mg 3.24-3.26
Hf 0.8853 0.1940 0.0785  9 Hf 3.03-3.16, 3 Mg 3.24-3.26
Mg 0.3332 0.9110 0.2525  3 Li 3.13-3.14, 6 Mg 3.15-3.16, 3 Hf 3.24-3.26
Mg 0.6668 0.0890 0.7475  3 Li 3.13-3.14, 6 Mg 3.15-3.16, 3 Hf 3.24-3.26

Results
Total magnetic moment (μB per formula unit): 0.00

---

<R>
This record from Alexandria describes LiHfMg after structural relaxation. The functional is PBE.

Cell: 3.0193 3.0193 8.0431 Å, 90.00 90.00 120.00°
With the nearest neighbours (Å) after each atom.
Atoms (fractional coordinates):
Li 0.0000 0.0000 0.0000  6 Li 3.02, 3 Mg 3.16, 3 Hf 3.22
Hf 0.6667 0.3333 0.3371  6 Hf 3.02, 3 Mg 3.21, 3 Li 3.22
Mg 0.3333 0.6667 0.6724  6 Mg 3.02, 3 Li 3.16, 3 Hf 3.21

Results
Total magnetic moment (μB per formula unit): 0.00

---

The structure with the least stability is <P>.